# 1
ScTiCl: relaxed, PBE.

Lattice parameters (Å, degrees): 3.262 3.262 14.309 97.28 97.28 59.99
Each line ends with the local moment (μB).
Sites, in units of the cell vectors:
Ti 0.014 0.014 0.076  0.10
Sc 0.285 0.285 0.907  0.16
Cl 0.573 0.573 0.784  0.00
Cl 0.180 0.180 0.523  0.00
Ti 0.739 0.739 0.232  0.10
Sc 0.468 0.468 0.401  0.16

Results
total DFT energy (no corrections): -36.9 eV per cell
uncorrected formation energy: -0.80 eV/atom


# 2
Ga2GeRh3: relaxed, PBE.

Lattice parameters (Å, degrees): 5.171 5.737 6.751 102.30 112.52 90.00
Sites, in units of the cell vectors:
Ga 0.664 0.589 0.336
Rh 0.154 0.570 0.317
Ga 0.672 0.089 0.336
Ga 0.336 0.411 0.664
Rh 0.163 0.070 0.317
Rh 0.846 0.430 0.683
Rh 0.638 0.250 0.000
Ga 0.328 0.911 0.664
Rh 0.837 0.930 0.683
Ge 0.154 0.250 0.000
Rh 0.362 0.750 0.000
Ge 0.846 0.750 0.000

Results
total DFT energy (no corrections): -71.0 eV per cell
DFT formation energy: -463 meV per atom


Please write out number 1 again, unchanged.
ScTiCl: relaxed, PBE.

Lattice parameters (Å, degrees): 3.262 3.262 14.309 97.28 97.28 59.99
Each line ends with the local moment (μB).
Sites, in units of the cell vectors:
Ti 0.014 0.014 0.076  0.10
Sc 0.285 0.285 0.907  0.16
Cl 0.573 0.573 0.784  0.00
Cl 0.180 0.180 0.523  0.00
Ti 0.739 0.739 0.232  0.10
Sc 0.468 0.468 0.401  0.16

Results
total DFT energy (no corrections): -36.9 eV per cell
uncorrected formation energy: -0.80 eV/atom


What is the formula in the second record?
Ga2GeRh3


Which formula does entry 2 have?
Ga2GeRh3


Copy entry 1 word for word.
ScTiCl: relaxed, PBE.

Lattice parameters (Å, degrees): 3.262 3.262 14.309 97.28 97.28 59.99
Each line ends with the local moment (μB).
Sites, in units of the cell vectors:
Ti 0.014 0.014 0.076  0.10
Sc 0.285 0.285 0.907  0.16
Cl 0.573 0.573 0.784  0.00
Cl 0.180 0.180 0.523  0.00
Ti 0.739 0.739 0.232  0.10
Sc 0.468 0.468 0.401  0.16

Results
total DFT energy (no corrections): -36.9 eV per cell
uncorrected formation energy: -0.80 eV/atom